Compound: YMg14Ga
Source: the Alexandria database
Functional: PBE-GGA
Structure: relaxed

a = 6.4629 Å, b = 6.4629 Å, c = 10.3556 Å
α = 90.00°, β = 90.00°, γ = 121.77°
Sites, in units of the cell vectors:
1 Y 0.8250 0.1750 0.5000
2 Mg 0.8332 0.1668 0.0000
3 Mg 0.3308 0.6692 0.0000
4 Mg 0.3306 0.1822 0.5000
5 Mg 0.3293 0.1630 0.0000
6 Mg 0.8178 0.6694 0.5000
7 Mg 0.8370 0.6707 0.0000
8 Mg 0.1683 0.3313 0.2487
9 Mg 0.1683 0.3313 0.7513
10 Mg 0.6687 0.8317 0.2487
11 Mg 0.6687 0.8317 0.7513
12 Mg 0.6667 0.3333 0.2449
13 Mg 0.6667 0.3333 0.7551
14 Mg 0.1742 0.8258 0.2666
15 Mg 0.1742 0.8258 0.7334
16 Ga 0.3406 0.6594 0.5000

Computed properties:
Offset from the most stable computed form, eV per atom: 0.0000
SG: No. 38
Raw total energy, eV per atom: -2.03
Formation energy from the elements, eV/atom: -0.044